# 1
A geometry-optimized CsLi2CuI4 structure, computed with PBE.

Summary:
formation energy without anion corrections: -0.983 eV/atom
N(E_F): 0.0 states/eV/f.u.
DFT total energy: -2.86 eV per atom

abc: 4.3245 8.7055 15.9603
angles: 90.00 90.00 104.38
Fractional coordinates of all 16 atoms:
Cs  0.1492  0.2984  0.7500
Cs  0.8508  0.7016  0.2500
Li  0.3996  0.7993  0.5769
Li  0.6004  0.2007  0.0769
Li  0.6004  0.2007  0.4231
Li  0.3996  0.7993  0.9231
Cu  0.8635  0.7270  0.7500
Cu  0.1365  0.2730  0.2500
I  0.2170  0.4339  0.1108
I  0.7830  0.5661  0.6108
I  0.7830  0.5661  0.8892
I  0.2170  0.4339  0.3892
I  0.0000  0.0000  0.5000
I  0.0000  0.0000  0.0000
I  0.4592  0.9185  0.7500
I  0.5408  0.0815  0.2500

---

# 2
A geometry-optimized Cs2MgCu2I6 structure, computed with PBE.

Summary:
formation energy without anion corrections: -0.865 eV/atom
N(E_F): 0.0 states/eV/f.u.
DFT total energy: -2.76 eV per atom

abc: 8.2607 8.3598 8.8971
angles: 115.49 90.00 119.61
Fractional coordinates of all 11 atoms:
Cs  0.7200  0.4400  0.2091
Cs  0.2800  0.5600  0.7909
Mg  0.5000  0.0000  0.5000
Cu  0.9255  0.8510  0.7156
Cu  0.0745  0.1490  0.2844
I  0.7402  0.4804  0.6747
I  0.2304  0.9414  0.2365
I  0.2890  0.0586  0.7635
I  0.7696  0.0586  0.7635
I  0.7110  0.9414  0.2365
I  0.2598  0.5196  0.3253

---

# 3
A geometry-optimized CsMg3Cu4I12 structure, computed with PBE.

Summary:
formation energy without anion corrections: -0.604 eV/atom
N(E_F): 20.5 states/eV/f.u.
DFT total energy: -2.64 eV per atom

abc: 9.7432 9.7432 9.7432
angles: 106.01 106.01 106.01
Fractional coordinates of all 20 atoms:
Cs  0.0000  0.0000  0.0000
Mg  0.5639  0.4361  0.0000
Mg  0.4361  0.0000  0.5639
Mg  0.0000  0.5639  0.4361
Cu  0.9268  0.0732  0.5000
Cu  0.0732  0.5000  0.9268
Cu  0.5000  0.9268  0.0732
Cu  0.5000  0.5000  0.5000
I  0.5000  0.3365  0.6635
I  0.9082  0.5000  0.0918
I  0.0918  0.9082  0.5000
I  0.5000  0.0918  0.9082
I  0.3519  0.9599  0.2458
I  0.2458  0.3519  0.9599
I  0.9599  0.2458  0.3519
I  0.6481  0.7542  0.0401
I  0.0401  0.6481  0.7542
I  0.7542  0.0401  0.6481
I  0.6635  0.5000  0.3365
I  0.3365  0.6635  0.5000

---

# 4
A geometry-optimized Cs2MgCuI5 structure, computed with PBE.

Summary:
formation energy without anion corrections: -1.050 eV/atom
N(E_F): 0.0 states/eV/f.u.
DFT total energy: -2.73 eV per atom

abc: 4.5669 11.5078 15.5413
angles: 90.00 90.00 101.45
Fractional coordinates of all 18 atoms:
Cs  0.8741  0.7481  0.8165
Cs  0.1239  0.2477  0.6994
Cs  0.1259  0.2519  0.3165
Cs  0.8761  0.7523  0.1994
Mg  0.7959  0.5917  0.5196
Mg  0.2041  0.4083  0.0196
Cu  0.5749  0.1499  0.9311
Cu  0.4251  0.8501  0.4311
I  0.3304  0.6608  0.0076
I  0.6956  0.3913  0.8856
I  0.5080  0.0160  0.7971
I  0.2944  0.5888  0.6465
I  0.9248  0.8497  0.5206
I  0.6696  0.3392  0.5076
I  0.3044  0.6087  0.3856
I  0.4920  0.9840  0.2971
I  0.7056  0.4112  0.1465
I  0.0752  0.1503  0.0206

---

# 5
A geometry-optimized CsMn3Cu4I12 structure, computed with PBE.

Summary:
formation energy without anion corrections: -0.348 eV/atom
N(E_F): 7.0 states/eV/f.u.
DFT total energy: -3.52 eV per atom

abc: 9.6310 9.6310 9.6310
angles: 106.15 106.15 106.15
Site moments in Bohr magnetons follow the coordinates.
Fractional coordinates of all 20 atoms:
Cs  0.0000  0.0000  0.0000  0.00
Mn  0.5679  0.4321  0.0000  4.25
Mn  0.4321  0.0000  0.5679  4.25
Mn  0.0000  0.5679  0.4321  4.25
Cu  0.9225  0.0775  0.5000  -0.06
Cu  0.0775  0.5000  0.9225  -0.06
Cu  0.5000  0.9225  0.0775  -0.06
Cu  0.5000  0.5000  0.5000  -0.04
I  0.5000  0.3342  0.6658  0.04
I  0.9092  0.5000  0.0908  0.01
I  0.0908  0.9092  0.5000  0.01
I  0.5000  0.0908  0.9092  0.01
I  0.3618  0.9777  0.2576  0.02
I  0.2576  0.3618  0.9777  0.02
I  0.9777  0.2576  0.3618  0.02
I  0.6382  0.7424  0.0223  0.02
I  0.0223  0.6382  0.7424  0.02
I  0.7424  0.0223  0.6382  0.02
I  0.6658  0.5000  0.3342  0.04
I  0.3342  0.6658  0.5000  0.04

---

# 6
A geometry-optimized CsMnCu2I6 structure, computed with PBE.

Summary:
formation energy without anion corrections: -0.475 eV/atom
N(E_F): 5.6 states/eV/f.u.
DFT total energy: -3.23 eV per atom

abc: 7.7833 10.8399 10.8399
angles: 85.86 74.02 74.02
Site moments in Bohr magnetons follow the coordinates.
Fractional coordinates of all 20 atoms:
Cs  0.2500  0.8795  0.1205  0.00
Cs  0.7500  0.1205  0.8795  0.00
Mn  0.2500  0.2639  0.7361  4.03
Mn  0.7500  0.7361  0.2639  4.03
Cu  0.2616  0.7810  0.6545  -0.16
Cu  0.2384  0.3455  0.2190  -0.16
Cu  0.7384  0.2190  0.3455  -0.16
Cu  0.7616  0.6545  0.7810  -0.16
I  0.2899  0.0113  0.7244  0.00
I  0.2101  0.2756  0.9887  0.00
I  0.7101  0.9887  0.2756  0.00
I  0.7899  0.7244  0.0113  0.00
I  0.4422  0.6995  0.4176  0.00
I  0.0578  0.5824  0.3005  0.00
I  0.5578  0.3005  0.5824  0.00
I  0.9422  0.4176  0.6995  0.00
I  0.9218  0.8179  0.6478  -0.06
I  0.5782  0.3522  0.1821  -0.06
I  0.0782  0.1821  0.3522  -0.06
I  0.4218  0.6478  0.8179  -0.06

---

# 7
A geometry-optimized CsMnCu2I8 structure, computed with PBE.

Summary:
formation energy without anion corrections: -0.332 eV/atom
N(E_F): 12.0 states/eV/f.u.
DFT total energy: -2.88 eV per atom

abc: 7.1271 7.1271 11.6279
angles: 72.15 72.15 60.00
Site moments in Bohr magnetons follow the coordinates.
Fractional coordinates of all 12 atoms:
Cs  0.0000  0.0000  0.0000  0.00
Mn  0.5000  0.5000  0.5000  3.92
Cu  0.7579  0.7579  0.7264  -0.23
Cu  0.2421  0.2421  0.2736  -0.23
I  0.6795  0.6795  0.9615  -0.17
I  0.3205  0.3205  0.0385  -0.17
I  0.5606  0.2492  0.3312  -0.10
I  0.7508  0.4394  0.6688  -0.10
I  0.1410  0.7508  0.6688  -0.10
I  0.2492  0.8590  0.3312  -0.10
I  0.8590  0.5606  0.3312  -0.10
I  0.4394  0.1410  0.6688  -0.10

---

# 8
A geometry-optimized CsMnCuI5 structure, computed with PBE.

Summary:
formation energy without anion corrections: -0.564 eV/atom
N(E_F): 3.6 states/eV/f.u.
DFT total energy: -3.30 eV per atom

abc: 8.2565 8.2565 10.4922
angles: 102.89 102.89 105.06
Site moments in Bohr magnetons follow the coordinates.
Fractional coordinates of all 16 atoms:
Cs  0.3564  0.6436  0.2500  0.00
Cs  0.6436  0.3564  0.7500  0.00
Mn  0.0000  0.0000  0.5000  3.98
Mn  0.0000  0.0000  0.0000  3.98
Cu  0.6924  0.3076  0.2500  -0.16
Cu  0.3076  0.6924  0.7500  -0.16
I  0.0676  0.9324  0.2500  0.00
I  0.9324  0.0676  0.7500  0.00
I  0.9073  0.2923  0.0988  -0.04
I  0.0927  0.7077  0.9012  -0.04
I  0.7077  0.0927  0.4012  -0.04
I  0.2923  0.9073  0.5988  -0.04
I  0.7869  0.6160  0.4338  -0.02
I  0.2131  0.3840  0.5662  -0.02
I  0.3840  0.2131  0.0662  -0.02
I  0.6160  0.7869  0.9338  -0.02

---

# 9
A geometry-optimized CsMn2CuI8 structure, computed with PBE.

Summary:
formation energy without anion corrections: -0.470 eV/atom
N(E_F): 6.4 states/eV/f.u.
DFT total energy: -3.44 eV per atom

abc: 7.3308 7.3308 10.3727
angles: 90.00 90.00 120.00
Site moments in Bohr magnetons follow the coordinates.
Fractional coordinates of all 12 atoms:
Cs  0.0000  0.0000  0.0000  0.00
Mn  0.6667  0.3333  0.2674  3.92
Mn  0.3333  0.6667  0.7326  3.92
Cu  0.0000  0.0000  0.5000  -0.27
I  0.3333  0.6667  0.9833  0.00
I  0.3110  0.3098  0.3390  -0.05
I  0.6902  0.0012  0.3390  -0.05
I  0.6667  0.3333  0.0167  0.00
I  0.3098  0.9988  0.6610  -0.05
I  0.6890  0.6902  0.6610  -0.05
I  0.0012  0.3110  0.6610  -0.05
I  0.9988  0.6890  0.3390  -0.05

---

# 10
A geometry-optimized Cs2CuMoI6 structure, computed with PBE.

Summary:
formation energy without anion corrections: -0.633 eV/atom
N(E_F): 0.0 states/eV/f.u.
DFT total energy: -3.23 eV per atom

abc: 8.1647 8.1647 8.1634
angles: 59.99 59.99 90.00
Site moments in Bohr magnetons follow the coordinates.
Fractional coordinates of all 10 atoms:
Cs  0.7500  0.2500  0.5000  0.00
Cs  0.2500  0.7500  0.5000  0.00
I  0.2473  0.2473  0.5053  0.01
I  0.7527  0.7527  0.4947  0.01
I  0.2473  0.2473  0.0000  0.01
I  0.7527  0.7527  0.0000  0.01
I  0.7527  0.2473  0.0000  0.01
I  0.2473  0.7527  0.0000  0.01
Mo  0.0000  0.0000  0.0000  2.48
Cu  0.5000  0.5000  0.0000  -0.03

---

# 11
A geometry-optimized CsCuIN2 structure, computed with PBE.

Summary:
formation energy without anion corrections: 1.299 eV/atom
distance to the lowest polymorph of the same formula: 0 meV per atom
N(E_F): 1.6 states/eV/f.u.
DFT total energy: -3.33 eV per atom

abc: 4.7920 4.7920 5.4603
angles: 90.00 90.00 90.00
Site moments in Bohr magnetons follow the coordinates.
Fractional coordinates of all 5 atoms:
Cs  0.5000  0.5000  0.5000  0.02
I  0.0000  0.0000  0.5000  0.10
Cu  0.0000  0.0000  0.0000  0.26
N  0.0000  0.5000  0.0000  1.36
N  0.5000  0.0000  0.0000  1.36

---

# 12
A geometry-optimized CsCuIN2 structure, computed with PBE.

Summary:
formation energy without anion corrections: 2.204 eV/atom
distance to the lowest polymorph of the same formula: 905 meV per atom
N(E_F): 2.3 states/eV/f.u.
DFT total energy: -2.43 eV per atom

abc: 4.4509 4.4509 7.8151
angles: 90.00 90.00 90.00
Site moments in Bohr magnetons follow the coordinates.
Fractional coordinates of all 5 atoms:
Cs  0.0000  0.0000  0.0000  0.01
I  0.0000  0.0000  0.5000  0.00
Cu  0.5000  0.5000  0.5000  0.00
N  0.0000  0.5000  0.0000  0.72
N  0.5000  0.0000  0.0000  0.72

---

For each record above, in turn, the calculated total moment values are 0.00 0.00 0.00 0.00 13.95 7.89 2.35 7.90 8.00 3.00 4.51 2.14 μB/cell.